Entry from the Alexandria database: Sc5Se after structural relaxation (PBE).

Output
- Excess energy over the best structure of this formula in the dataset: 0.606 eV/atom
- Formation energy without anion corrections: 0.1766 eV per atom
- Volume: 24.862 A^3/atom

The structure in extended XYZ format:
```
6
Lattice="5.420 -2.307 0.862 2.679 0.588 5.284 0.689 -4.742 3.532" Properties=species:S:1:pos:R:3 pbc="T T T"
Sc 2.197 -1.615 2.419
Sc 5.477 -4.027 6.032
Sc 5.137 -1.688 4.290
Sc 2.804 -2.889 5.607
Sc 4.156 -4.317 3.427
Se 0.000 0.000 0.000
```

=====

Entry from the Alexandria database: ScSe5 after structural relaxation (PBE).

Output
- Formation energy without anion corrections: -0.5742 eV per atom
- Volume: 26.646 A^3/atom

The structure in extended XYZ format:
```
6
Lattice="1.911 -7.499 0.000 1.911 7.499 0.000 0.000 0.000 5.577" Properties=species:S:1:pos:R:3 pbc="T T T"
Sc 1.911 6.677 0.000
Se 1.911 1.101 0.000
Se 1.911 -2.749 0.000
Se 1.911 1.052 2.788
Se 1.911 -2.734 2.788
Se 1.911 6.652 2.788
```

=====

Entry from the Alexandria database: ScSe2 after structural relaxation (PBE).

Output
- Formation energy without anion corrections: -1.0840 eV per atom
- Volume: 20.829 A^3/atom

The structure in extended XYZ format:
```
3
Lattice="-2.092 -4.625 -2.417 1.667 -2.397 -4.805 1.842 2.115 4.873" Properties=species:S:1:pos:R:3 pbc="T T T"
Sc -0.212 -3.511 -3.611
Se -0.059 -0.979 -1.007
Se -0.365 -6.043 -6.215
```

=====

Entry from the Alexandria database: ScSe4 after structural relaxation (PBE).

Output
- Excess energy over the best structure of this formula in the dataset: 0.416 eV/atom
- Formation energy without anion corrections: -0.0557 eV per atom
- Volume: 26.905 A^3/atom

The structure in extended XYZ format:
```
5
Lattice="-0.277 -2.492 -4.468 -2.338 -3.919 2.331 -4.551 2.165 -0.925" Properties=species:S:1:pos:R:3 pbc="T T T"
Sc -3.583 -2.123 -1.532
Se 0.000 0.000 0.000
Se -2.414 -0.163 -2.697
Se -3.445 -0.877 0.703
Se -1.308 -3.205 -1.069
```

=====

Entry from the Alexandria database: ScSe2 after structural relaxation (PBE).

Output
- Formation energy without anion corrections: -1.2768 eV per atom
- Volume: 20.560 A^3/atom

The structure in extended XYZ format:
```
6
Lattice="3.939 0.000 0.000 0.000 3.939 0.000 0.000 0.000 7.949" Properties=species:S:1:pos:R:3 pbc="T T T"
Sc 2.954 2.954 5.781
Sc 0.985 0.985 2.169
Se 2.954 2.954 2.974
Se 0.985 0.985 4.975
Se 2.954 0.985 0.000
Se 0.985 2.954 0.000
```

=====

Entry from the Alexandria database: Sc5Se after structural relaxation (PBE).

Output
- Excess energy over the best structure of this formula in the dataset: 0.143 eV/atom
- Formation energy without anion corrections: -0.2866 eV per atom
- Volume: 22.648 A^3/atom

The structure in extended XYZ format:
```
6
Lattice="1.769 -7.428 0.000 1.769 7.428 0.000 0.000 0.000 5.170" Properties=species:S:1:pos:R:3 pbc="T T T"
Sc 1.769 2.570 2.585
Sc 1.769 5.059 0.000
Sc 0.000 0.000 2.585
Sc 1.769 -5.059 0.000
Sc 1.769 -2.570 2.585
Se 1.769 0.000 0.000
```

=====

Entry from the Alexandria database: ScSe after structural relaxation (PBE).

Output
- Formation energy without anion corrections: -1.3341 eV per atom
- Volume: 27.404 A^3/atom

The structure in extended XYZ format:
```
16
Lattice="-9.326 0.245 -4.718 0.201 -10.410 -0.939 -1.811 -0.356 3.562" Properties=species:S:1:pos:R:3 pbc="T T T"
Sc -3.380 -8.643 -2.583
Sc -5.746 -1.522 -3.074
Sc -1.423 -3.921 -1.116
Sc -7.702 -6.244 -4.541
Sc -9.049 -3.493 -2.691
Sc -1.888 -7.028 0.597
Sc -6.892 -9.182 -2.163
Sc -4.045 -1.339 0.068
Se -3.640 -2.764 -2.127
Se -5.486 -7.401 -3.529
Se -6.683 -3.946 -3.793
Se -2.442 -6.218 -1.864
Se -9.108 -8.025 -3.175
Se -1.829 -2.496 1.080
Se -2.825 -9.452 -0.123
Se -8.111 -1.069 -1.972
```

=====

Entry from the Alexandria database: ScSe4 after structural relaxation (PBE).

Output
- Excess energy over the best structure of this formula in the dataset: 0.069 eV/atom
- Formation energy without anion corrections: -0.4031 eV per atom
- Volume: 24.696 A^3/atom

The structure in extended XYZ format:
```
5
Lattice="-0.951 -2.869 4.515 2.256 4.763 1.322 -4.685 0.877 -2.609" Properties=species:S:1:pos:R:3 pbc="T T T"
Sc 0.000 0.000 0.000
Se 1.128 2.381 0.661
Se -2.342 0.439 -1.304
Se -1.690 1.385 1.614
Se -0.476 -1.435 2.258
```

=====

Entry from the Alexandria database: ScSiSe2 after structural relaxation (PBE).

Output
- Formation energy without anion corrections: -0.8142 eV per atom
- Volume: 19.868 A^3/atom

The structure in extended XYZ format:
```
4
Lattice="3.833 0.000 0.000 0.000 3.915 -0.009 0.000 1.964 5.292" Properties=species:S:1:pos:R:3 pbc="T T T"
Sc 1.916 3.672 4.048
Se 0.000 5.630 5.014
Se 1.916 1.715 2.051
Si 0.000 3.679 2.094
```

=====

Entry from the Alexandria database: ScSi2Se after structural relaxation (PBE).

Output
- Formation energy without anion corrections: 0.0677 eV per atom
- Volume: 18.792 A^3/atom

The structure in extended XYZ format:
```
4
Lattice="7.924 -0.006 -0.004 7.214 3.279 -0.004 7.214 1.560 2.884" Properties=species:S:1:pos:R:3 pbc="T T T"
Sc 5.588 1.208 0.719
Se 16.764 3.625 2.158
Si 0.153 0.033 0.020
Si 11.023 2.383 1.419
```

=====

Entry from the Alexandria database: ScSiSe after structural relaxation (PBE).

Output
- Formation energy without anion corrections: -0.1683 eV per atom
- Volume: 21.636 A^3/atom

The structure in extended XYZ format:
```
3
Lattice="4.511 0.000 0.000 2.255 3.907 0.000 2.255 1.302 3.683" Properties=species:S:1:pos:R:3 pbc="T T T"
Sc 4.511 2.604 1.842
Se 6.766 3.907 2.762
Si 0.000 0.000 0.000
```

=====

Entry from the Alexandria database: ScSi2Se after structural relaxation (PBE).

Output
- Formation energy without anion corrections: -0.2892 eV per atom
- Volume: 17.776 A^3/atom

The structure in extended XYZ format:
```
4
Lattice="5.106 0.022 0.001 1.528 4.872 -0.001 -2.759 -3.203 2.863" Properties=species:S:1:pos:R:3 pbc="T T T"
Sc 3.417 2.521 0.000
Se 0.884 1.941 1.431
Si 6.477 4.779 0.000
Si 3.045 -0.209 1.432
```

=====

Entry from the Alexandria database: Sc3SiSe2 after structural relaxation (PBE).

Output
- Excess energy over the best structure of this formula in the dataset: 0.005 eV/atom
- Formation energy without anion corrections: -1.3655 eV per atom
- Volume: 20.556 A^3/atom

The structure in extended XYZ format:
```
6
Lattice="-3.150 -1.341 1.797 -1.405 -2.739 -4.508 5.314 -2.590 3.222" Properties=species:S:1:pos:R:3 pbc="T T T"
Sc -2.146 -2.556 0.569
Sc 2.905 -4.114 -0.059
Sc 1.082 -1.966 2.510
Si 0.379 -3.335 0.255
Se -2.927 -3.806 -1.733
Se 3.686 -2.865 2.244
```

=====

Entry from the Alexandria database: ScSiSe2 after structural relaxation (PBE).

Output
- Formation energy without anion corrections: -0.6031 eV per atom
- Volume: 24.606 A^3/atom

The structure in extended XYZ format:
```
4
Lattice="8.729 -0.086 -0.051 7.995 3.503 -0.051 7.995 1.633 3.099" Properties=species:S:1:pos:R:3 pbc="T T T"
Sc 18.494 3.778 2.242
Se 0.618 0.126 0.075
Se 5.522 1.128 0.669
Si 12.445 2.542 1.509
```

=====

Entry from the Alexandria database: Sc4SiSe after structural relaxation (PBE).

Output
- Formation energy without anion corrections: 0.1153 eV per atom
- Volume: 21.286 A^3/atom

The structure in extended XYZ format:
```
6
Lattice="2.998 -3.387 3.390 -2.145 -4.963 1.651 2.158 -4.822 -2.013" Properties=species:S:1:pos:R:3 pbc="T T T"
Sc 2.639 -6.633 2.844
Sc 2.215 -7.357 0.116
Sc 0.042 -7.429 1.966
Sc 1.125 -4.923 1.132
Si 0.000 0.000 0.000
Se 2.258 -9.878 2.272
```

=====

Entry from the Alexandria database: ScSiSe3 after structural relaxation (PBE).

Output
- Excess energy over the best structure of this formula in the dataset: 0.688 eV/atom
- Formation energy without anion corrections: -0.2536 eV per atom
- Volume: 22.361 A^3/atom

The structure in extended XYZ format:
```
5
Lattice="4.817 0.000 0.000 0.000 4.817 0.000 0.000 0.000 4.817" Properties=species:S:1:pos:R:3 pbc="T T T"
Sc 2.409 2.409 2.409
Si 0.000 0.000 0.000
Se 0.000 2.409 0.000
Se 0.000 0.000 2.409
Se 2.409 0.000 0.000
```

=====

Entry from the Alexandria database: ScSi2Se after structural relaxation (PBE).

Output
- Formation energy without anion corrections: -0.0950 eV per atom
- Volume: 17.976 A^3/atom

The structure in extended XYZ format:
```
4
Lattice="4.767 -0.051 0.000 -1.451 4.541 0.000 0.000 0.000 3.333" Properties=species:S:1:pos:R:3 pbc="T T T"
Sc 2.383 -0.026 1.667
Se -0.725 2.270 1.667
Si 0.000 0.000 0.000
Si 1.658 2.245 0.000
```

=====

Entry from the Alexandria database: ScSi2Se after structural relaxation (PBE).

Output
- Formation energy without anion corrections: -0.0141 eV per atom
- Volume: 18.521 A^3/atom

The structure in extended XYZ format:
```
4
Lattice="4.714 0.000 0.000 2.357 4.083 0.000 2.357 1.361 3.849" Properties=species:S:1:pos:R:3 pbc="T T T"
Sc 4.714 2.722 1.925
Se 7.071 4.083 2.887
Si 0.000 0.000 0.000
Si 2.357 1.361 0.962
```

=====

Entry from the Alexandria database: ScSiSe3 after structural relaxation (PBE).

Output
- Excess energy over the best structure of this formula in the dataset: 0.855 eV/atom
- Formation energy without anion corrections: -0.0860 eV per atom
- Volume: 26.779 A^3/atom

The structure in extended XYZ format:
```
5
Lattice="-0.759 3.364 3.779 -5.043 -0.809 -0.293 0.405 -3.769 3.436" Properties=species:S:1:pos:R:3 pbc="T T T"
Sc 0.000 0.000 0.000
Si -2.699 -0.607 3.461
Se -2.522 -0.404 -0.147
Se 0.202 -1.884 1.718
Se -0.380 1.682 1.890
```

=====

Entry from the Alexandria database: ScSiSe4 after structural relaxation (PBE).

Output
- Excess energy over the best structure of this formula in the dataset: 1.048 eV/atom
- Formation energy without anion corrections: 0.3961 eV per atom
- Volume: 21.167 A^3/atom

The structure in extended XYZ format:
```
6
Lattice="0.442 -3.269 4.577 -3.760 0.474 4.180 -3.752 -4.117 0.900" Properties=species:S:1:pos:R:3 pbc="T T T"
Sc 0.000 0.000 0.000
Si -5.303 -5.183 7.242
Se -2.426 -4.229 5.914
Se -4.531 -4.654 4.068
Se -4.535 -2.351 5.714
Se -2.648 -2.589 3.617
```